# PBE KZr2AlBr, optimized geometry
# **Crystal system**: tetragonal
# **Formation energy (no corrections)**: 0.715 eV per atom
data_KZr2AlBr
_chemical_formula_sum 'K1 Zr2 Al1 Br1'
_cell_length_a 5.108
_cell_length_b 5.108
_cell_length_c 5.609
_cell_angle_alpha 90.00
_cell_angle_beta 90.00
_cell_angle_gamma 90.00
_symmetry_space_group_name_H-M 'P 4/m m m'
_symmetry_Int_Tables_number 123
_symmetry_space_group_name_Hall '-P 4 2'
loop_
_atom_site_label
_atom_site_fract_x
_atom_site_fract_y
_atom_site_fract_z
K1 0.000 0.000 0.000
Zr1 0.000 0.500 0.500
Al1 0.500 0.500 0.000
Br1 0.500 0.500 0.500

# PBE LaAlBr, optimized geometry
# **Crystal system**: trigonal
# **Formation energy (no corrections)**: -0.520 eV per atom
data_LaAlBr
_chemical_formula_sum 'La1 Al1 Br1'
_cell_length_a 3.8006
_cell_length_b 3.8006
_cell_length_c 7.5212
_cell_angle_alpha 90.00
_cell_angle_beta 90.00
_cell_angle_gamma 120.00
_symmetry_space_group_name_H-M 'P 3 m 1'
_symmetry_Int_Tables_number 156
_symmetry_space_group_name_Hall 'P 3 -2"'
loop_
_atom_site_label
_atom_site_fract_x
_atom_site_fract_y
_atom_site_fract_z
La1 0.0000 0.0000 0.0000
Al1 0.6667 0.3333 0.3081
Br1 0.3333 0.6667 0.7143

# PBE LaAlBr, optimized geometry
# **Crystal system**: hexagonal
# **Formation energy (no corrections)**: -0.459 eV per atom
data_LaAlBr
_chemical_formula_sum 'La1 Al1 Br1'
_cell_length_a 5.1483
_cell_length_b 5.1483
_cell_length_c 3.7739
_cell_angle_alpha 90.00
_cell_angle_beta 90.00
_cell_angle_gamma 120.00
_symmetry_space_group_name_H-M 'P -6 m 2'
_symmetry_Int_Tables_number 187
_symmetry_space_group_name_Hall 'P -6 2'
loop_
_atom_site_label
_atom_site_fract_x
_atom_site_fract_y
_atom_site_fract_z
La1 0.0000 0.0000 0.0000
Al1 0.6667 0.3333 0.5000
Br1 0.3333 0.6667 0.0000

# PBE La5Al2Br2, optimized geometry
# **Crystal system**: orthorhombic
# **Formation energy (no corrections)**: -0.726 eV per atom
data_La5Al2Br2
_chemical_formula_sum 'La20 Al8 Br8'
_cell_length_a 15.806
_cell_length_b 8.290
_cell_length_c 8.146
_cell_angle_alpha 90.00
_cell_angle_beta 90.00
_cell_angle_gamma 90.00
_symmetry_space_group_name_H-M 'C m c e'
_symmetry_Int_Tables_number 64
_symmetry_space_group_name_Hall '-C 2ac 2'
loop_
_atom_site_label
_atom_site_fract_x
_atom_site_fract_y
_atom_site_fract_z
La1 0.000 0.000 0.000
La2 0.139 0.172 0.338
Al1 0.000 0.120 0.617
Br1 0.195 0.000 0.000

# PBE LaAlBr, optimized geometry
# **Crystal system**: cubic
# **Formation energy (no corrections)**: -0.329 eV per atom
data_LaAlBr
_chemical_formula_sum 'La4 Al4 Br4'
_cell_length_a 7.060
_cell_length_b 7.060
_cell_length_c 7.060
_cell_angle_alpha 90.00
_cell_angle_beta 90.00
_cell_angle_gamma 90.00
_symmetry_space_group_name_H-M 'F -4 3 m'
_symmetry_Int_Tables_number 216
_symmetry_space_group_name_Hall 'F -4 2 3'
loop_
_atom_site_label
_atom_site_fract_x
_atom_site_fract_y
_atom_site_fract_z
La1 0.000 0.000 0.000
Al1 0.000 0.000 0.500
Br1 0.250 0.250 0.750

# PBE LaAlBr, optimized geometry
# **Crystal system**: tetragonal
# **Formation energy (no corrections)**: -0.557 eV per atom
data_LaAlBr
_chemical_formula_sum 'La2 Al2 Br2'
_cell_length_a 3.615
_cell_length_b 3.615
_cell_length_c 15.220
_cell_angle_alpha 90.00
_cell_angle_beta 90.00
_cell_angle_gamma 90.00
_symmetry_space_group_name_H-M 'I 4 m m'
_symmetry_Int_Tables_number 107
_symmetry_space_group_name_Hall 'I 4 -2'
loop_
_atom_site_label
_atom_site_fract_x
_atom_site_fract_y
_atom_site_fract_z
La1 0.000 0.000 0.000
Al1 0.000 0.000 0.631
Br1 0.000 0.000 0.375

# PBE LaAl2Br2, optimized geometry
# **Crystal system**: tetragonal
# **Formation energy (no corrections)**: -0.240 eV per atom
# **Energy above the lowest structure with this stoichiometry**: 0.0000 eV per atom
data_LaAl2Br2
_chemical_formula_sum 'La2 Al4 Br4'
_cell_length_a 7.816
_cell_length_b 7.816
_cell_length_c 4.926
_cell_angle_alpha 90.00
_cell_angle_beta 90.00
_cell_angle_gamma 90.00
_symmetry_space_group_name_H-M 'P 4/m b m'
_symmetry_Int_Tables_number 127
_symmetry_space_group_name_Hall '-P 4 2ab'
loop_
_atom_site_label
_atom_site_fract_x
_atom_site_fract_y
_atom_site_fract_z
La1 0.000 0.000 0.000
Al1 0.119 0.381 0.000
Br1 0.249 0.251 0.500

# PBE LaAl3Br, optimized geometry
# **Crystal system**: cubic
# **Formation energy (no corrections)**: 0.348 eV per atom
# **Energy above the lowest structure with this stoichiometry**: 0.0000 eV per atom
data_LaAl3Br
_chemical_formula_sum 'La1 Al3 Br1'
_cell_length_a 5.175
_cell_length_b 5.175
_cell_length_c 5.175
_cell_angle_alpha 90.00
_cell_angle_beta 90.00
_cell_angle_gamma 90.00
_symmetry_space_group_name_H-M 'P m -3 m'
_symmetry_Int_Tables_number 221
_symmetry_space_group_name_Hall '-P 4 2 3'
loop_
_atom_site_label
_atom_site_fract_x
_atom_site_fract_y
_atom_site_fract_z
La1 0.000 0.000 0.000
Al1 0.000 0.500 0.500
Br1 0.500 0.500 0.500

Number 1: total magnetization 0.00 Bohr magnetons per cell. Number 2: total magnetization 0.00 Bohr magnetons per cell. Number 3: total magnetization 0.00 Bohr magnetons per cell. Number 4: total magnetization 0.00 Bohr magnetons per cell. Number 5: total magnetization 0.00 Bohr magnetons per cell. Number 6: total magnetization 0.49 Bohr magnetons per cell. Number 7: total magnetization 0.00 Bohr magnetons per cell. Number 8: total magnetization 0.00 Bohr magnetons per cell.